CoMo2As | GGA-PBE | optimized geometry

Results
V, Å³/cell: 115.8
Energy of formation from the pure elements, meV per atom: 131.7

Geometry as CIF:
```
data_CoMo2As
_cell_length_a 9.0266
_cell_length_b 3.0879
_cell_length_c 4.2796
_cell_angle_alpha 90.00
_cell_angle_beta 103.83
_cell_angle_gamma 90.00
_symmetry_space_group_name_H-M 'C 1 2/m 1'
_symmetry_Int_Tables_number 12
loop_
_symmetry_equiv_pos_as_xyz
'x,y,z'
'-x,-y,-z'
'-x,y,-z'
'x,-y,z'
'x+1/2,y+1/2,z'
'-x+1/2,-y+1/2,-z'
'-x+1/2,y+1/2,-z'
'x+1/2,-y+1/2,z'
loop_
_atom_site_label
_atom_site_type_symbol
_atom_site_fract_x
_atom_site_fract_y
_atom_site_fract_z
Co1 Co 0.0000 0.0000 0.0000
Mo1 Mo 0.2480 0.5000 0.2390
As1 As 0.0000 0.5000 0.5000
```